1.
Density functional theory data (PBE) for a relaxed structure of AcMgTlAu.

Lattice parameters (Å, degrees): 5.3590 5.3590 5.3590 60.00 60.00 60.00
Closest atoms and distances in Å follow each position.
Fractional positions:
1 Au 0.0000 0.0000 0.0000  4 Ac 3.28, 4 Mg 3.28
2 Mg 0.7500 0.7500 0.7500  4 Tl 3.28, 4 Au 3.28
3 Tl 0.5000 0.5000 0.5000  4 Ac 3.28, 4 Mg 3.28
4 Ac 0.2500 0.2500 0.2500  4 Au 3.28, 4 Tl 3.28

Results
Space group: F-43m
ΔH_f (0 K): -0.4525 eV/atom

---

2.
Density functional theory data (PBE) for a relaxed structure of La12Tb5Tm2.

Lattice parameters (Å, degrees): 7.6427 10.4610 10.0757 64.72 90.00 111.43
Closest atoms and distances in Å follow each position.
Fractional positions:
1 La 0.0000 0.0000 0.7940  1 Tb 2.96, 2 Tm 3.10
2 La 0.9107 0.3198 0.1548  6 La 3.46-3.83, 4 Tb 3.66-3.86
3 La 0.5910 0.6802 0.8452  6 La 3.46-3.83, 4 Tb 3.66-3.86
4 La 0.9333 0.3296 0.5062  5 La 3.28-3.65
5 La 0.4858 0.9716 0.3447  5 La 3.32-3.59, 2 Tm 3.68
6 La 0.6037 0.6704 0.4938  5 La 3.28-3.65
7 La 0.5142 0.0284 0.6553  5 La 3.32-3.59, 2 Tm 3.68
8 La 0.0893 0.6802 0.8452  6 La 3.46-3.83, 4 Tb 3.66-3.86
9 La 0.0000 0.0000 0.2060  1 Tb 2.96, 2 Tm 3.10
10 La 0.3963 0.3296 0.5062  5 La 3.28-3.65
11 La 0.0667 0.6704 0.4938  5 La 3.28-3.65
12 La 0.4090 0.3198 0.1548  6 La 3.46-3.83, 4 Tb 3.66-3.86
13 Tb 0.3230 0.6461 0.1908  2 Tm 3.43, 4 La 3.71-3.77, 2 Tb 3.83
14 Tb 0.8270 0.6540 0.1659  8 La 3.57-3.82, 2 Tm 3.78, 2 Tb 3.83
15 Tb 0.1730 0.3460 0.8341  8 La 3.57-3.82, 2 Tm 3.78, 2 Tb 3.83
16 Tb 0.0000 0.0000 0.5000  2 La 2.96
17 Tb 0.6770 0.3539 0.8092  2 Tm 3.43, 4 La 3.71-3.77, 2 Tb 3.83
18 Tm 0.6983 0.0000 0.0000  1 Tm 3.03, 2 La 3.10
19 Tm 0.3017 0.0000 0.0000  1 Tm 3.03, 2 La 3.10

Results
Space group: C2/m
Polymorph energy (0 for the lowest one): 30 meV/atom
ΔH_f (0 K): 0.1534 eV/atom

---

3.
Density functional theory data (PBE) for a relaxed structure of SrTl2Ru.

Lattice parameters (Å, degrees): 5.1392 5.1392 5.1392 60.00 60.00 60.00
Closest atoms and distances in Å follow each position.
Fractional positions:
1 Sr 0.0000 0.0000 0.0000  8 Tl 3.15
2 Tl 0.2500 0.2500 0.2500  4 Sr 3.15, 4 Ru 3.15
3 Tl 0.7500 0.7500 0.7500  4 Ru 3.15, 4 Sr 3.15
4 Ru 0.5000 0.5000 0.5000  8 Tl 3.15

Results
Space group: Fm-3m
ΔH_f (0 K): 0.2689 eV/atom

---

4.
Density functional theory data (PBE) for a relaxed structure of VZn2CdB.

Lattice parameters (Å, degrees): 4.1423 4.2249 4.1423 90.00 90.00 90.00
Closest atoms and distances in Å follow each position.
Fractional positions:
1 Zn 0.0000 0.0000 0.5000  2 B 2.07
2 Zn 0.5000 0.0000 0.0000  2 B 2.07
3 B 0.0000 0.0000 0.0000  4 Zn 2.07, 2 V 2.11
4 Cd 0.5000 0.5000 0.5000  4 V 2.93, 8 Zn 2.96
5 V 0.0000 0.5000 0.0000  2 B 2.11

Results
Space group: P4/mmm
Polymorph energy (0 for the lowest one): 0 meV/atom
ΔH_f (0 K): 0.2235 eV/atom

---

5.
Density functional theory data (PBE) for a relaxed structure of Dy4Au2O.

Lattice parameters (Å, degrees): 6.7914 6.9261 7.6198 90.00 105.90 90.00
Closest atoms and distances in Å follow each position.
Fractional positions:
1 Dy 0.9068 0.2500 0.0934  1 O 2.20
2 Dy 0.4948 0.5074 0.2502  1 O 2.24
3 Dy 0.0715 0.7500 0.3831  1 O 2.21
4 Dy 0.5052 0.4926 0.7498  1 O 2.24
5 Dy 0.4948 0.9926 0.2502  1 O 2.24
6 Dy 0.5052 0.0074 0.7498  1 O 2.24
7 Dy 0.0932 0.7500 0.9066  1 O 2.20
8 Dy 0.9285 0.2500 0.6169  1 O 2.21
9 O 0.2686 0.7500 0.1957  4 Dy 2.20-2.24
10 O 0.7314 0.2500 0.8043  4 Dy 2.20-2.24
11 Au 0.7420 0.7500 0.5672  6 Dy 2.95-3.04
12 Au 0.7279 0.7500 0.0491  6 Dy 2.94-3.00
13 Au 0.2580 0.2500 0.4328  6 Dy 2.95-3.04
14 Au 0.2721 0.2500 0.9509  6 Dy 2.94-3.00

Results
Space group: P2_1/m
Energy relative to the elements, uncorrected: -1.325 eV per atom
Polymorph energy (0 for the lowest one): 0 meV/atom

---

6.
Density functional theory data (PBE) for a relaxed structure of LaPrDy5Tm2.

Lattice parameters (Å, degrees): 5.6090 10.2367 10.7730 90.00 90.00 105.90
Closest atoms and distances in Å follow each position.
Fractional positions:
1 Dy 0.6060 0.2119 0.5263  5 Dy 3.41-3.72, 4 Tm 3.57-3.61, 1 La 3.69, 1 Pr 3.79
2 Dy 0.7161 0.4322 0.8043  1 Pr 3.08, 1 Tm 3.34, 2 Dy 3.39
3 Dy 0.2966 0.5933 0.7060  3 Dy 3.39-3.56, 3 La 3.52-3.71, 3 Tm 3.53-3.74, 1 Pr 3.64
4 Dy 0.9821 0.9642 0.5303  2 Pr 3.19, 2 Tm 3.34-3.45
5 Dy 0.4767 0.9533 0.7372  2 Pr 3.10-3.29, 1 Dy 3.41, 2 Tm 3.45
6 Dy 0.0179 0.0358 0.0303  2 Pr 3.19, 2 Tm 3.34-3.45
7 Dy 0.5233 0.0467 0.2372  2 Pr 3.10-3.29, 1 Dy 3.41, 2 Tm 3.45
8 Dy 0.7034 0.4067 0.2060  3 Dy 3.39-3.56, 3 La 3.52-3.71, 3 Tm 3.53-3.74, 1 Pr 3.64
9 Dy 0.2839 0.5678 0.3043  1 Pr 3.08, 1 Tm 3.34, 2 Dy 3.39
10 Dy 0.3940 0.7881 0.0263  5 Dy 3.41-3.72, 4 Tm 3.57-3.61, 1 La 3.69, 1 Pr 3.79
11 Pr 0.4180 0.8359 0.4516  5 Dy 3.08-3.29
12 Pr 0.5820 0.1641 0.9516  5 Dy 3.08-3.29
13 Tm 0.1147 0.2294 0.3217  9 Dy 3.34-3.67
14 Tm 0.8922 0.7845 0.2379  7 Dy 3.34-3.74, 1 La 3.51, 2 Pr 3.66
15 Tm 0.8853 0.7706 0.8217  9 Dy 3.34-3.67
16 Tm 0.1078 0.2155 0.7379  7 Dy 3.34-3.74, 1 La 3.51, 2 Pr 3.66
17 La 0.2067 0.4135 0.0085  2 Tm 3.51-3.83, 8 Dy 3.52-3.73, 2 Pr 3.78
18 La 0.7933 0.5865 0.5085  2 Tm 3.51-3.83, 8 Dy 3.52-3.73, 2 Pr 3.78

Results
Space group: Cmc2_1
ΔH_f (0 K): 0.1628 eV/atom

---

7.
Density functional theory data (PBE) for a relaxed structure of Ba4LaS5.

Lattice parameters (Å, degrees): 6.3248 7.7350 7.7350 80.38 65.87 65.87
Closest atoms and distances in Å follow each position.
Fractional positions:
1 S 0.5006 0.0000 0.0000  4 Ba 3.15, 2 La 3.16-3.17
2 S 0.9071 0.3747 0.8132  1 La 2.96, 4 Ba 3.17-3.19
3 S 0.7203 0.1868 0.3747  1 La 2.96, 4 Ba 3.17-3.19
4 S 0.2818 0.8132 0.6253  1 La 2.96, 4 Ba 3.17-3.19
5 S 0.0949 0.6253 0.1868  1 La 2.96, 4 Ba 3.17-3.19
6 Ba 0.4041 0.3972 0.7967  6 S 3.15-3.33
7 Ba 0.8012 0.7967 0.6028  6 S 3.15-3.33
8 Ba 0.5980 0.6028 0.2033  6 S 3.15-3.33
9 Ba 0.2008 0.2033 0.3972  6 S 3.15-3.33
10 La 0.0015 0.0000 0.0000  6 S 2.96-3.17

Results
Space group: I4
Energy relative to the elements, uncorrected: -2.063 eV per atom

---

8.
Density functional theory data (PBE) for a relaxed structure of K2SbPdSe4.

Lattice parameters (Å, degrees): 5.2519 8.3649 11.7765 85.99 77.12 71.70
Closest atoms and distances in Å follow each position.
Fractional positions:
1 Se 0.5617 0.2194 0.1401  1 Sb 2.69, 1 Pd 2.73, 1 Se 2.85
2 Se 0.8288 0.7194 0.6401  1 Sb 2.69, 1 Pd 2.73, 1 Se 2.85
3 Se 0.9212 0.7806 0.8599  1 Sb 2.69, 1 Pd 2.73, 1 Se 2.85
4 Se 0.2982 0.7806 0.1401  1 Sb 2.69, 1 Pd 2.73, 1 Se 2.85
5 Se 0.2188 0.2194 0.8599  1 Sb 2.69, 1 Pd 2.73, 1 Se 2.85
6 Se 0.4518 0.7194 0.3599  1 Sb 2.69, 1 Pd 2.73, 1 Se 2.85
7 Se 0.5312 0.2806 0.6401  1 Sb 2.69, 1 Pd 2.73, 1 Se 2.85
8 Se 0.1883 0.2806 0.3599  1 Sb 2.69, 1 Pd 2.73, 1 Se 2.85
9 Sb 0.2500 0.5000 0.5000  2 Pd 2.63, 4 Se 2.69
10 Sb 0.5000 0.0000 0.0000  2 Pd 2.63, 4 Se 2.69
11 K 0.5686 0.5000 0.8627  6 Se 3.38-3.48
12 K 0.9314 0.5000 0.1373  6 Se 3.38-3.48
13 K 0.8186 0.0000 0.3627  6 Se 3.38-3.48
14 K 0.1814 0.0000 0.6373  6 Se 3.38-3.48
15 Pd 0.7500 0.5000 0.5000  2 Sb 2.63, 4 Se 2.73
16 Pd 0.0000 0.0000 0.0000  2 Sb 2.63, 4 Se 2.73

Results
Space group: Fddd
Energy relative to the elements, uncorrected: -0.532 eV per atom

---

9.
Density functional theory data (PBE) for a relaxed structure of TbDySc.

Lattice parameters (Å, degrees): 3.3772 8.5866 6.1814 90.00 90.00 90.00
Closest atoms and distances in Å follow each position.
Fractional positions:
1 Tb 0.5000 0.1847 0.2500  6 Sc 3.34-3.53, 2 Tb 3.38, 4 Dy 3.55
2 Tb 0.5000 0.8153 0.7500  6 Sc 3.34-3.53, 2 Tb 3.38, 4 Dy 3.55
3 Dy 0.0000 0.5000 0.0000  4 Dy 3.09-3.38, 2 Sc 3.37
4 Dy 0.0000 0.5000 0.5000  4 Dy 3.09-3.38, 2 Sc 3.37
5 Sc 0.0000 0.1509 0.7500  6 Tb 3.34-3.53, 2 Dy 3.37, 2 Sc 3.38
6 Sc 0.0000 0.8491 0.2500  6 Tb 3.34-3.53, 2 Dy 3.37, 2 Sc 3.38

Results
Space group: Pmma
Polymorph energy (0 for the lowest one): 207 meV/atom
ΔH_f (0 K): 0.2381 eV/atom

---

10.
Density functional theory data (PBE) for a relaxed structure of NaPmTlPt.

Lattice parameters (Å, degrees): 5.1224 5.1224 5.1224 60.00 60.00 60.00
Closest atoms and distances in Å follow each position.
Fractional positions:
1 Tl 0.2500 0.2500 0.2500  4 Na 3.14, 4 Pm 3.14
2 Na 0.0000 0.0000 0.0000  4 Tl 3.14, 4 Pt 3.14
3 Pt 0.7500 0.7500 0.7500  4 Na 3.14, 4 Pm 3.14
4 Pm 0.5000 0.5000 0.5000  4 Pt 3.14, 4 Tl 3.14

Results
Space group: F-43m
ΔH_f (0 K): -0.3874 eV/atom

---

11.
Density functional theory data (PBE) for a relaxed structure of La2MgIn8.

Lattice parameters (Å, degrees): 4.9344 4.9344 12.3681 90.00 90.00 90.00
Closest atoms and distances in Å follow each position.
Fractional positions:
1 In 0.0000 0.5000 0.8711  2 Mg 2.94, 1 In 3.19
2 In 0.5000 0.0000 0.1289  2 Mg 2.94, 1 In 3.19
3 In 0.5000 0.0000 0.5000  4 La 3.41, 8 In 3.42-3.49
4 In 0.5000 0.0000 0.8711  2 Mg 2.94, 1 In 3.19
5 In 0.0000 0.5000 0.1289  2 Mg 2.94, 1 In 3.19
6 In 0.5000 0.5000 0.6913  8 In 3.32-3.42, 4 La 3.49
7 In 0.0000 0.5000 0.5000  4 La 3.41, 8 In 3.42-3.49
8 In 0.5000 0.5000 0.3087  8 In 3.32-3.42, 4 La 3.49
9 La 0.0000 0.0000 0.6907  12 In 3.33-3.49
10 La 0.0000 0.0000 0.3093  12 In 3.33-3.49
11 Mg 0.0000 0.0000 0.0000  8 In 2.94

Results
Space group: P4/mmm
ΔH_f (0 K): -0.3479 eV/atom

---

Number 1: M_tot 0.000 Bohr magnetons per cell. Number 2: M_tot 0.000 Bohr magnetons per cell. Number 3: M_tot 0.007 Bohr magnetons per cell. Number 4: M_tot 0.000 Bohr magnetons per cell. Number 5: M_tot 0.000 Bohr magnetons per cell. Number 6: M_tot 0.000 Bohr magnetons per cell. Number 7: M_tot 0.000 Bohr magnetons per cell. Number 8: M_tot 0.000 Bohr magnetons per cell. Number 9: M_tot 0.000 Bohr magnetons per cell. Number 10: M_tot 0.000 Bohr magnetons per cell. Number 11: M_tot 0.000 Bohr magnetons per cell.